# 1
This record from Alexandria describes Pd2AuF8 after structural relaxation. The functional is PBE-GGA.

a b c (Å): 4.573 6.256 6.256
angles (deg): 67.15 88.02 88.02
Fractional coordinates of all 11 atoms:
Au (0.000, 0.000, 0.000)
Pd (0.752, 0.607, 0.607)
Pd (0.248, 0.393, 0.393)
F (0.752, 0.896, 0.310)
F (0.248, 0.690, 0.104)
F (0.758, 0.791, 0.791)
F (0.242, 0.209, 0.209)
F (0.752, 0.310, 0.896)
F (0.248, 0.104, 0.690)
F (0.257, 0.590, 0.590)
F (0.743, 0.410, 0.410)

Computed properties:
**Energy above the lowest structure with this stoichiometry**: 0.00 eV per formula unit
**N(E_F)**: 0.368 states/eV per atom
**Electronic total energy**: -3.69 eV/atom
**V**: 164.8 Å³ per cell
**Energy relative to the elements, uncorrected**: -1088 meV/atom



# 2
This record from Alexandria describes Gd2InPd after structural relaxation. The functional is PBE-GGA.

a b c (Å): 5.214 5.214 5.214
angles (deg): 60.00 60.00 60.00
Fractional coordinates of all 4 atoms:
Gd (0.250, 0.250, 0.250)
Gd (0.750, 0.750, 0.750)
Pd (0.500, 0.500, 0.500)
In (0.000, 0.000, 0.000)

Computed properties:
**Energy above the lowest structure with this stoichiometry**: 0.32 eV per formula unit
**Energy relative to the elements**: -0.58 eV/atom
**N(E_F)**: 0.780 states/eV per atom
**Electronic total energy**: -9.61 eV/atom
**V**: 100.2 Å³ per cell